A relaxed structure of SiP2RuN, computed with GGA-PBE.

Results
Relative energy among the computed polymorphs ... 0.016 eV per atom
Uncorrected formation energy ... -0.31 eV/atom
Mass density ... 4.92 g/cm3

a b c (Å): 8.197 2.961 6.440
angles (deg): 90.00 117.67 90.00
Space group Cm (No. 8)
Inequivalent atoms, fractional coordinates:
Si  0.000  0.000  0.000 (multiplicity 2)
P  0.186  0.500  0.653 (multiplicity 2)
P  0.324  0.000  0.267 (multiplicity 2)
Ru  0.450  0.500  0.588 (multiplicity 2)
N  0.442  0.000  0.106 (multiplicity 2)

***

A relaxed structure of GaCuHgBi2, computed with GGA-PBE.

Results
Formation energy ... 0.716 eV/atom
Mass density ... 8.06 g/cm3

a b c (Å): 5.555 5.555 5.020
angles (deg): 90.00 90.00 90.00
Space group P4/mmm (No. 123)
Inequivalent atoms, fractional coordinates:
Ga  0.000  0.000  0.000 (multiplicity 1)
Cu  0.500  0.500  0.500 (multiplicity 1)
Hg  0.000  0.000  0.500 (multiplicity 1)
Bi  0.000  0.500  0.000 (multiplicity 2)

***

A relaxed structure of TlCr2Rh2, computed with GGA-PBE.

Results
Relative energy among the computed polymorphs ... 0.012 eV per atom
Formation energy ... 0.262 eV/atom
Mass density ... 11.18 g/cm3

a b c (Å): 7.372 7.372 2.811
angles (deg): 90.00 90.00 90.00
Space group P4/mbm (No. 127)
Inequivalent atoms, fractional coordinates:
Tl  0.000  0.000  0.000 (multiplicity 2)
Cr  0.106  0.394  0.000 (multiplicity 4)
Rh  0.174  0.674  0.500 (multiplicity 4)

***

A relaxed structure of CaCeSm, computed with GGA-PBE.

Results
Relative energy among the computed polymorphs ... 0.000 eV per atom
Formation energy ... 0.137 eV/atom
Mass density ... 5.28 g/cm3

a b c (Å): 3.6239 3.6239 9.1382
angles (deg): 90.00 90.00 120.00
Space group P3m1 (No. 156)
Inequivalent atoms, fractional coordinates:
Ca  0.0000  0.0000  0.0000 (multiplicity 1)
Ce  0.3333  0.6667  0.6561 (multiplicity 1)
Sm  0.6667  0.3333  0.3486 (multiplicity 1)

***

A relaxed structure of KNb3Cu, computed with GGA-PBE.

Results
Relative energy among the computed polymorphs ... 0.000 eV per atom
Formation energy ... 1.557 eV/atom
Mass density ... 5.41 g/cm3

a b c (Å): 4.891 4.891 4.891
angles (deg): 90.00 90.00 90.00
Space group Pm-3m (No. 221)
Inequivalent atoms, fractional coordinates:
K  0.000  0.000  0.000 (multiplicity 1)
Nb  0.000  0.500  0.500 (multiplicity 3)
Cu  0.500  0.500  0.500 (multiplicity 1)

***

A relaxed structure of Y2FeH, computed with GGA-PBE.

Results
Relative energy among the computed polymorphs ... 0.136 eV per atom
Mass density ... 5.46 g/cm3

a b c (Å): 6.585 6.585 6.585
angles (deg): 90.00 90.00 90.00
Space group Fm-3m (No. 225)
Inequivalent atoms, fractional coordinates:
Y  0.250  0.250  0.250 (multiplicity 8)
Fe  0.000  0.000  0.000 (multiplicity 4)
H  0.000  0.000  0.500 (multiplicity 4)

***

A relaxed structure of Zr7Ru3, computed with GGA-PBE.

Results
Formation energy ... -0.308 eV/atom
Mass density ... 7.51 g/cm3

a b c (Å): 9.1482 9.1482 5.7453
angles (deg): 90.00 90.00 120.00
Space group P6_3mc (No. 186)
Inequivalent atoms, fractional coordinates:
Zr  0.0726  0.5363  0.0000 (multiplicity 6)
Zr  0.1270  0.2541  0.2797 (multiplicity 6)
Zr  0.3333  0.6667  0.4810 (multiplicity 2)
Ru  0.1897  0.3794  0.7393 (multiplicity 6)

***

| no. | final energy (eV per atom) |
| --- | --- |
| 1 | -7.080 |
| 2 | -2.321 |
| 3 | -7.001 |
| 4 | -4.081 |
| 5 | -5.524 |
| 6 | -5.911 |
| 7 | -9.075 |